The following is a GGA-PBE calculation of a geometry-optimized Mg2HgPt2 structure, from the Alexandria database.

a = 3.820 Å, b = 3.820 Å, c = 7.398 Å
α = 75.04°, β = 75.04°, γ = 90.00°
Fractional positions:
Mg 0.388 0.388 0.225
Mg 0.612 0.612 0.775
Hg 0.000 0.000 0.000
Pt 0.750 0.250 0.500
Pt 0.250 0.750 0.500

Summary:
* formation energy: -342 meV/atom
* ΔE to the lowest computed polymorph: 0.2657 eV per atom

---

The following is a GGA-PBE calculation of a geometry-optimized SrMn2Fe structure, from the Alexandria database.

a = 4.243 Å, b = 4.180 Å, c = 4.180 Å
α = 90.00°, β = 90.00°, γ = 90.00°
Fractional positions:
Fe 0.500 0.000 0.500
Mn 0.000 0.000 0.000
Mn 0.000 0.500 0.500
Sr 0.500 0.500 0.000

Summary:
* formation energy: 859 meV/atom

---

The following is a GGA-PBE calculation of a geometry-optimized K2Cu2Cl structure, from the Alexandria database.

a = 3.571 Å, b = 3.571 Å, c = 9.904 Å
α = 79.61°, β = 79.61°, γ = 90.00°
Fractional positions:
K 0.399 0.399 0.202
K 0.601 0.601 0.798
Cu 0.750 0.250 0.500
Cu 0.250 0.750 0.500
Cl 0.000 0.000 0.000

Summary:
* formation energy (no corrections): -511 meV/atom

---

The following is a GGA-PBE calculation of a geometry-optimized Ni2AsPb structure, from the Alexandria database.

a = 5.372 Å, b = 5.372 Å, c = 5.372 Å
α = 139.06°, β = 139.06°, γ = 59.28°
Fractional positions:
As 0.750 0.250 0.500
Ni 0.000 0.000 0.000
Ni 0.250 0.750 0.500
Pb 0.500 0.500 0.000

Summary:
* formation energy: 283 meV/atom

---

The following is a GGA-PBE calculation of a geometry-optimized Li2P2Pb structure, from the Alexandria database.

a = 7.951 Å, b = 7.951 Å, c = 2.869 Å
α = 90.00°, β = 90.00°, γ = 90.00°
Fractional positions:
Pb 0.000 0.000 0.000
Pb 0.500 0.500 0.000
P 0.328 0.828 0.000
P 0.828 0.672 0.000
P 0.672 0.172 0.000
P 0.172 0.328 0.000
Li 0.122 0.622 0.500
Li 0.622 0.878 0.500
Li 0.878 0.378 0.500
Li 0.378 0.122 0.500

Summary:
* formation energy: -186 meV/atom
* ΔE to the lowest computed polymorph: 0.1583 eV per atom

---

The following is a GGA-PBE calculation of a geometry-optimized AcAs3Ir3 structure, from the Alexandria database.

a = 6.798 Å, b = 6.798 Å, c = 6.798 Å
α = 90.00°, β = 90.00°, γ = 90.00°
Fractional positions:
Ac 0.500 0.500 0.500
Ac 0.000 0.000 0.000
Ir 0.000 0.250 0.500
Ir 0.000 0.750 0.500
Ir 0.500 0.000 0.750
Ir 0.750 0.500 0.000
Ir 0.500 0.000 0.250
Ir 0.250 0.500 0.000
As 0.250 0.000 0.500
As 0.000 0.500 0.250
As 0.500 0.750 0.000
As 0.750 0.000 0.500
As 0.000 0.500 0.750
As 0.500 0.250 0.000

Summary:
* formation energy: -350 meV/atom

---

The following is a GGA-PBE calculation of a geometry-optimized TbCeAg structure, from the Alexandria database.

a = 3.488 Å, b = 5.309 Å, c = 8.663 Å
α = 90.00°, β = 101.61°, γ = 90.00°
Fractional positions:
Ag 0.425 0.250 0.850
Ag 0.575 0.750 0.150
Tb 0.920 0.750 0.839
Tb 0.080 0.250 0.161
Ce 0.768 0.250 0.536
Ce 0.232 0.750 0.464

Summary:
* formation energy: -106 meV/atom
* ΔE to the lowest computed polymorph: 0.0000 eV per atom

---

The following is a GGA-PBE calculation of a geometry-optimized DyB3O6 structure, from the Alexandria database.

a = 7.436 Å, b = 12.326 Å, c = 16.050 Å
α = 90.00°, β = 90.00°, γ = 90.00°
Fractional positions:
Dy 0.250 0.767 0.871
Dy 0.750 0.233 0.129
Dy 0.750 0.267 0.629
Dy 0.250 0.733 0.371
Dy 0.250 0.413 0.549
Dy 0.750 0.587 0.451
Dy 0.750 0.913 0.951
Dy 0.250 0.087 0.049
Dy 0.250 0.065 0.673
Dy 0.750 0.935 0.327
Dy 0.750 0.565 0.827
Dy 0.250 0.435 0.173
Dy 0.250 0.491 0.881
Dy 0.750 0.509 0.119
Dy 0.750 0.991 0.619
Dy 0.250 0.009 0.381
B 0.070 0.813 0.217
B 0.560 0.823 0.468
B 0.060 0.177 0.532
B 0.440 0.323 0.032
B 0.940 0.677 0.968
B 0.440 0.177 0.532
B 0.940 0.823 0.468
B 0.560 0.677 0.968
B 0.060 0.323 0.032
B 0.578 0.982 0.153
B 0.078 0.018 0.847
B 0.422 0.482 0.347
B 0.922 0.518 0.653
B 0.422 0.018 0.847
B 0.922 0.982 0.153
B 0.578 0.518 0.653
B 0.078 0.482 0.347
B 0.570 0.187 0.783
B 0.930 0.313 0.283
B 0.430 0.687 0.717
B 0.930 0.187 0.783
B 0.430 0.813 0.217
B 0.070 0.687 0.717
B 0.570 0.313 0.283
B 0.073 0.845 0.057
B 0.573 0.155 0.943
B 0.927 0.345 0.443
B 0.427 0.655 0.557
B 0.927 0.155 0.943
B 0.427 0.845 0.057
B 0.073 0.655 0.557
B 0.573 0.345 0.443
B 0.077 0.643 0.109
B 0.577 0.357 0.891
B 0.923 0.143 0.391
B 0.423 0.857 0.609
B 0.923 0.357 0.891
B 0.423 0.643 0.109
B 0.077 0.857 0.609
B 0.577 0.143 0.391
B 0.069 0.127 0.243
B 0.569 0.873 0.757
B 0.931 0.627 0.257
B 0.431 0.373 0.743
B 0.931 0.873 0.757
B 0.431 0.127 0.243
B 0.069 0.373 0.743
B 0.569 0.627 0.257
O 0.936 0.622 0.048
O 0.019 0.709 0.478
O 0.519 0.291 0.522
O 0.981 0.209 0.022
O 0.481 0.791 0.978
O 0.981 0.291 0.522
O 0.481 0.709 0.478
O 0.019 0.791 0.978
O 0.519 0.209 0.022
O 0.044 0.877 0.404
O 0.544 0.123 0.596
O 0.956 0.377 0.096
O 0.456 0.623 0.904
O 0.956 0.123 0.596
O 0.456 0.877 0.404
O 0.044 0.623 0.904
O 0.250 0.853 0.245
O 0.750 0.147 0.755
O 0.750 0.353 0.255
O 0.250 0.647 0.745
O 0.250 0.897 0.048
O 0.750 0.103 0.952
O 0.750 0.397 0.452
O 0.250 0.603 0.548
O 0.250 0.605 0.078
O 0.750 0.395 0.922
O 0.750 0.105 0.422
O 0.250 0.895 0.578
O 0.250 0.136 0.276
O 0.750 0.864 0.724
O 0.750 0.636 0.224
O 0.250 0.364 0.776
O 0.250 0.540 0.341
O 0.750 0.460 0.659
O 0.750 0.040 0.159
O 0.250 0.960 0.841
O 0.250 0.306 0.066
O 0.750 0.694 0.934
O 0.750 0.806 0.434
O 0.250 0.194 0.566
O 0.073 0.765 0.128
O 0.573 0.235 0.872
O 0.927 0.265 0.372
O 0.427 0.735 0.628
O 0.927 0.235 0.872
O 0.427 0.765 0.128
O 0.073 0.735 0.628
O 0.573 0.265 0.372
O 0.034 0.577 0.185
O 0.534 0.423 0.815
O 0.966 0.077 0.315
O 0.466 0.923 0.685
O 0.966 0.423 0.815
O 0.466 0.577 0.185
O 0.034 0.923 0.685
O 0.534 0.077 0.315
O 0.064 0.122 0.452
O 0.564 0.878 0.548
O 0.544 0.377 0.096
O 0.436 0.378 0.952
O 0.936 0.878 0.548
O 0.436 0.122 0.452
O 0.064 0.378 0.952
O 0.564 0.622 0.048
O 0.019 0.729 0.276
O 0.519 0.271 0.724
O 0.981 0.229 0.224
O 0.481 0.771 0.776
O 0.981 0.271 0.724
O 0.481 0.729 0.276
O 0.019 0.771 0.776
O 0.519 0.229 0.224
O 0.564 0.898 0.218
O 0.565 0.936 0.835
O 0.935 0.564 0.335
O 0.435 0.436 0.665
O 0.935 0.936 0.835
O 0.435 0.064 0.165
O 0.065 0.436 0.665
O 0.565 0.564 0.335
O 0.058 0.432 0.430
O 0.558 0.568 0.570
O 0.942 0.932 0.070
O 0.442 0.068 0.930
O 0.942 0.568 0.570
O 0.442 0.432 0.430
O 0.058 0.068 0.930
O 0.558 0.932 0.070
O 0.064 0.398 0.282
O 0.564 0.602 0.718
O 0.936 0.898 0.218
O 0.436 0.102 0.782
O 0.936 0.602 0.718
O 0.436 0.398 0.282
O 0.064 0.102 0.782
O 0.065 0.064 0.165

Summary:
* formation energy (no corrections): -2780 meV/atom

---

The following is a GGA-PBE calculation of a geometry-optimized GdTh2V structure, from the Alexandria database.

a = 3.534 Å, b = 3.534 Å, c = 10.490 Å
α = 80.30°, β = 80.30°, γ = 60.00°
Fractional positions:
Gd 0.500 0.500 0.500
Th 0.260 0.260 0.219
Th 0.740 0.740 0.781
V 0.000 0.000 0.000

Summary:
* formation energy: 333 meV/atom

---

The following is a GGA-PBE calculation of a geometry-optimized Be3Au4 structure, from the Alexandria database.

a = 2.984 Å, b = 2.984 Å, c = 11.091 Å
α = 97.73°, β = 97.73°, γ = 90.00°
Fractional positions:
Be 0.000 0.000 0.000
Be 0.722 0.722 0.445
Be 0.278 0.278 0.555
Au 0.833 0.833 0.666
Au 0.167 0.167 0.334
Au 0.565 0.565 0.131
Au 0.435 0.435 0.869

Summary:
* formation energy: -131 meV/atom
* ΔE to the lowest computed polymorph: 0.0000 eV per atom

---

The following is a GGA-PBE calculation of a geometry-optimized Tb2OsCl structure, from the Alexandria database.

a = 3.394 Å, b = 3.456 Å, c = 8.106 Å
α = 90.01°, β = 90.00°, γ = 90.00°
Fractional positions:
Tb 0.000 0.000 0.793
Tb 0.000 0.000 0.207
Os 0.500 0.500 0.000
Cl 0.500 0.000 0.500

Summary:
* ΔE to the lowest computed polymorph: 0.0000 eV per atom
* formation energy (no corrections): -896 meV/atom

---

The following is a GGA-PBE calculation of a geometry-optimized TaBe2Zn structure, from the Alexandria database.

a = 6.359 Å, b = 6.359 Å, c = 5.207 Å
α = 52.36°, β = 52.36°, γ = 90.00°
Fractional positions:
Be 0.596 0.125 0.250
Be 0.154 0.625 0.250
Be 0.375 0.404 0.750
Be 0.875 0.846 0.750
Zn 0.500 0.500 0.000
Zn 0.250 0.750 0.500
Ta 0.000 0.000 0.000
Ta 0.750 0.250 0.500

Summary:
* formation energy: 483 meV/atom

---

The following is a GGA-PBE calculation of a geometry-optimized Ce2AgTe4 structure, from the Alexandria database.

a = 4.678 Å, b = 7.852 Å, c = 12.218 Å
α = 90.00°, β = 90.00°, γ = 90.00°
Fractional positions:
Te 0.000 0.614 0.785
Te 0.000 0.386 0.215
Te 0.000 0.114 0.715
Te 0.000 0.886 0.285
Te 0.500 0.744 0.560
Te 0.500 0.256 0.440
Te 0.500 0.756 0.060
Te 0.500 0.244 0.940
Ag 0.000 0.000 0.500
Ag 0.000 0.500 0.000
Ce 0.500 0.888 0.820
Ce 0.500 0.112 0.180
Ce 0.500 0.388 0.680
Ce 0.500 0.612 0.320

Summary:
* formation energy (no corrections): -929 meV/atom

---

The following is a GGA-PBE calculation of a geometry-optimized BaZr2S4 structure, from the Alexandria database.

a = 3.934 Å, b = 6.556 Å, c = 13.079 Å
α = 90.00°, β = 90.00°, γ = 107.46°
Fractional positions:
Ba 0.616 0.233 0.750
Ba 0.384 0.767 0.250
Zr 0.121 0.243 0.440
Zr 0.879 0.757 0.940
Zr 0.121 0.243 0.060
Zr 0.879 0.757 0.560
S 0.762 0.524 0.105
S 0.762 0.524 0.395
S 0.238 0.476 0.895
S 0.238 0.476 0.605
S 0.924 0.847 0.750
S 0.076 0.153 0.250
S 0.500 0.000 0.000
S 0.500 0.000 0.500

Summary:
* formation energy (no corrections): -1691 meV/atom

---

The following is a GGA-PBE calculation of a geometry-optimized MgInBi structure, from the Alexandria database.

a = 5.031 Å, b = 5.031 Å, c = 5.031 Å
α = 60.00°, β = 60.00°, γ = 60.00°
Fractional positions:
Mg 0.250 0.250 0.250
Bi 0.000 0.000 0.000
In 0.500 0.500 0.500

Summary:
* formation energy: -80 meV/atom

---

The following is a GGA-PBE calculation of a geometry-optimized ZrFe2H2 structure, from the Alexandria database.

a = 3.333 Å, b = 3.333 Å, c = 5.007 Å
α = 70.56°, β = 70.56°, γ = 90.00°
Fractional positions:
H 0.750 0.250 0.500
H 0.250 0.750 0.500
Fe 0.333 0.333 0.335
Fe 0.667 0.667 0.665
Zr 0.000 0.000 0.000

Summary:
* total DFT energy (no corrections): -6.517 eV per atom

---

The following is a GGA-PBE calculation of a geometry-optimized Nb5V3S20 structure, from the Alexandria database.

a = 10.105 Å, b = 10.105 Å, c = 10.751 Å
α = 60.91°, β = 60.91°, γ = 38.94°
Fractional positions:
Nb 0.663 0.161 0.131
Nb 0.161 0.663 0.131
Nb 0.840 0.840 0.866
Nb 0.339 0.339 0.865
Nb 0.198 0.198 0.411
V 0.702 0.702 0.402
V 0.315 0.776 0.603
V 0.776 0.315 0.603
S 0.029 0.029 0.014
S 0.529 0.529 0.017
S 0.473 0.972 0.981
S 0.972 0.473 0.981
S 0.873 0.385 0.349
S 0.385 0.873 0.349
S 0.621 0.621 0.653
S 0.112 0.112 0.662
S 0.968 0.968 0.236
S 0.466 0.466 0.239
S 0.536 0.034 0.759
S 0.034 0.536 0.759
S 0.687 0.190 0.866
S 0.190 0.687 0.866
S 0.812 0.812 0.134
S 0.313 0.313 0.130
S 0.551 0.039 0.401
S 0.039 0.551 0.401
S 0.960 0.960 0.601
S 0.455 0.455 0.593

Summary:
* formation energy (no corrections): -837 meV/atom

---

Number 1: density 10.56 g cm⁻³. Number 2: density 5.67 g cm⁻³. Number 3: density 3.27 g cm⁻³. Number 4: density 10.07 g cm⁻³. Number 5: density 5.18 g cm⁻³. Number 6: density 10.87 g cm⁻³. Number 7: density 8.60 g cm⁻³. Number 8: density 5.25 g cm⁻³. Number 9: density 10.03 g cm⁻³. Number 10: density 13.96 g cm⁻³. Number 11: density 9.49 g cm⁻³. Number 12: density 8.27 g cm⁻³. Number 13: density 6.65 g cm⁻³. Number 14: density 4.62 g cm⁻³. Number 15: density 6.42 g cm⁻³. Number 16: density 6.93 g cm⁻³. Number 17: density 3.54 g cm⁻³.